# HfThFe2H6 | Alexandria via LeMat-Bulk | PBE | optimized geometry
# space-group type = R-3m
# electronic total energy = -5.852 eV per atom
data_HfThFe2H6
_chemical_formula_sum 'Hf1 Th1 Fe2 H6'
_symmetry_space_group_name_H-M 'P 1'
_symmetry_Int_Tables_number 1
_cell_length_a 4.410
_cell_length_b 4.410
_cell_length_c 5.969
_cell_angle_alpha 68.32
_cell_angle_beta 68.32
_cell_angle_gamma 60.00
loop_
_symmetry_equiv_pos_as_xyz
'x,y,z'
loop_
_atom_site_label
_atom_site_type_symbol
_atom_site_fract_x
_atom_site_fract_y
_atom_site_fract_z
Hf1 Hf 0.500 0.500 0.500
Th1 Th 0.000 0.000 0.000
Fe1 Fe 0.787 0.787 0.638
Fe2 Fe 0.213 0.213 0.362
H1 H 0.073 0.559 0.810
H2 H 0.559 0.073 0.810
H3 H 0.441 0.441 0.190
H4 H 0.927 0.441 0.190
H5 H 0.441 0.927 0.190
H6 H 0.559 0.559 0.810